Here is a relaxed CrSe2 crystal from the Alexandria database. Energies are from PBE.

Results
* formation energy without anion corrections: -465 meV per atom
* total moment: 0.71 μB per atom
* symmetry: C2/m (12)

a = 3.5229 Å, b = 6.0110 Å, c = 6.8497 Å
α = 113.69°, β = 104.90°, γ = 90.00°
Each line ends with the local moment (μB).
Fractional positions:
Cr (0.7494, 0.7744, 0.4989)  2.46
Cr (0.2506, 0.2256, 0.5011)  2.46
Se (0.3611, 0.6858, 0.7222)  -0.20
Se (0.1202, 0.7972, 0.2404)  -0.18
Se (0.8798, 0.2028, 0.7596)  -0.18
Se (0.6389, 0.3142, 0.2778)  -0.20